# La6Pr2Nd5

An optimized crystal structure of La6Pr2Nd5 (PBE-GGA, Alexandria via LeMat-Bulk).

Results
Symmetry ... Pbam
DOS at the Fermi energy ... 1.436 states/eV per atom
Energy ... -4.75 eV/atom

a b c (Å): 3.7089 12.0970 21.2703
angles (deg): 90.00 90.00 90.00
Closest atoms and distances in Å follow each position.
Element x y z (fractional)
Nd1 0.5000 0.0888 0.2230  5 La 3.42-3.63, 4 Pr 3.64-3.70, 2 Nd 3.71
Nd2 0.5000 0.3009 0.4440  6 La 3.66-3.78, 3 Nd 3.71-3.83, 2 Pr 3.88
Nd3 0.5000 0.8009 0.0560  6 La 3.66-3.78, 3 Nd 3.71-3.83, 2 Pr 3.88
Nd4 0.5000 0.5000 0.0000  6 La 3.53-3.54, 4 Nd 3.71-3.83
Nd5 0.5000 0.1991 0.9440  6 La 3.66-3.78, 3 Nd 3.71-3.83, 2 Pr 3.88
Nd6 0.5000 0.6991 0.5560  6 La 3.66-3.78, 3 Nd 3.71-3.83, 2 Pr 3.88
Nd7 0.5000 0.0000 0.5000  6 La 3.53-3.54, 4 Nd 3.71-3.83
Nd8 0.5000 0.9112 0.7770  5 La 3.42-3.63, 4 Pr 3.64-3.70, 2 Nd 3.71
Nd9 0.5000 0.4112 0.7230  5 La 3.42-3.63, 4 Pr 3.64-3.70, 2 Nd 3.71
Nd10 0.5000 0.5888 0.2770  5 La 3.42-3.63, 4 Pr 3.64-3.70, 2 Nd 3.71
La1 0.0000 0.5603 0.4226  5 La 3.60-3.82, 6 Nd 3.63-3.78
La2 0.0000 0.4210 0.8657  1 Pr 3.50, 6 Nd 3.54-3.66, 4 La 3.64-3.71
La3 0.5000 0.3203 0.1306  2 Nd 3.42-3.53, 6 La 3.64-3.82, 2 Pr 3.77
La4 0.0000 0.9397 0.9226  5 La 3.60-3.82, 6 Nd 3.63-3.78
La5 0.0000 0.4397 0.5774  5 La 3.60-3.82, 6 Nd 3.63-3.78
La6 0.0000 0.9210 0.6343  1 Pr 3.50, 6 Nd 3.54-3.66, 4 La 3.64-3.71
La7 0.5000 0.1797 0.6306  2 Nd 3.42-3.53, 6 La 3.64-3.82, 2 Pr 3.77
La8 0.0000 0.0603 0.0774  5 La 3.60-3.82, 6 Nd 3.63-3.78
La9 0.0000 0.5790 0.1343  1 Pr 3.50, 6 Nd 3.54-3.66, 4 La 3.64-3.71
La10 0.5000 0.8203 0.3694  2 Nd 3.42-3.53, 6 La 3.64-3.82, 2 Pr 3.77
La11 0.0000 0.0790 0.3657  1 Pr 3.50, 6 Nd 3.54-3.66, 4 La 3.64-3.71
La12 0.5000 0.6797 0.8694  2 Nd 3.42-3.53, 6 La 3.64-3.82, 2 Pr 3.77
Pr1 0.0000 0.6693 0.7155  3 La 3.50-3.77, 6 Nd 3.64-3.88, 2 Pr 3.71
Pr2 0.0000 0.8307 0.2155  3 La 3.50-3.77, 6 Nd 3.64-3.88, 2 Pr 3.71
Pr3 0.0000 0.1693 0.7845  3 La 3.50-3.77, 6 Nd 3.64-3.88, 2 Pr 3.71
Pr4 0.0000 0.3307 0.2845  3 La 3.50-3.77, 6 Nd 3.64-3.88, 2 Pr 3.71

=====

# La2Pr6Nd

An optimized crystal structure of La2Pr6Nd (PBE-GGA, Alexandria via LeMat-Bulk).

Results
Symmetry ... P4_2/mnm
DOS at the Fermi energy ... 1.658 states/eV per atom
Energy above the lowest structure with this stoichiometry ... 39.7 kJ per mole of atoms
Energy ... -4.24 eV/atom

a b c (Å): 8.3484 8.3484 10.6818
angles (deg): 90.00 90.00 90.00
Closest atoms and distances in Å follow each position.
Element x y z (fractional)
Pr1 0.2363 0.7637 0.1686  2 La 3.12-3.39, 1 Nd 3.32
Pr2 0.2624 0.2624 0.0000  1 Nd 3.10, 2 La 3.24
Pr3 0.2637 0.2637 0.6686  2 La 3.12-3.39, 1 Nd 3.32
Pr4 0.7376 0.7376 0.0000  1 Nd 3.10, 2 La 3.24
Pr5 0.2637 0.2637 0.3314  2 La 3.12-3.39, 1 Nd 3.32
Pr6 0.7363 0.7363 0.3314  2 La 3.12-3.39, 1 Nd 3.32
Pr7 0.7363 0.7363 0.6686  2 La 3.12-3.39, 1 Nd 3.32
Pr8 0.7637 0.2363 0.1686  2 La 3.12-3.39, 1 Nd 3.32
Pr9 0.7637 0.2363 0.8314  2 La 3.12-3.39, 1 Nd 3.32
Pr10 0.2376 0.7624 0.5000  1 Nd 3.10, 2 La 3.24
Pr11 0.2363 0.7637 0.8314  2 La 3.12-3.39, 1 Nd 3.32
Pr12 0.7624 0.2376 0.5000  1 Nd 3.10, 2 La 3.24
La1 0.5000 0.5000 0.8488  6 Pr 3.12-3.39, 1 La 3.23
La2 0.0000 0.0000 0.3488  6 Pr 3.12-3.39, 1 La 3.23
La3 0.0000 0.0000 0.6512  6 Pr 3.12-3.39, 1 La 3.23
La4 0.5000 0.5000 0.1512  6 Pr 3.12-3.39, 1 La 3.23
Nd1 0.5000 0.5000 0.5000  6 Pr 3.10-3.32
Nd2 0.0000 0.0000 0.0000  6 Pr 3.10-3.32

=====

# La2Pr5Nd6

An optimized crystal structure of La2Pr5Nd6 (PBE-GGA, Alexandria via LeMat-Bulk).

Results
Symmetry ... Pbam
DOS at the Fermi energy ... 1.306 states/eV per atom
Energy ... -4.71 eV/atom

a b c (Å): 3.7026 12.0537 21.2101
angles (deg): 90.00 90.00 90.00
Closest atoms and distances in Å follow each position.
Element x y z (fractional)
Pr1 0.5000 0.9195 0.7825  5 Nd 3.44-3.58, 4 La 3.62-3.69, 2 Pr 3.70
Pr2 0.5000 0.2996 0.4418  6 Nd 3.70-3.74, 3 Pr 3.70-3.82, 2 La 3.93
Pr3 0.5000 0.5000 0.0000  6 Nd 3.47-3.57, 4 Pr 3.70-3.82
Pr4 0.5000 0.2004 0.9418  6 Nd 3.70-3.74, 3 Pr 3.70-3.82, 2 La 3.93
Pr5 0.5000 0.4195 0.7175  5 Nd 3.44-3.58, 4 La 3.62-3.69, 2 Pr 3.70
Pr6 0.5000 0.7996 0.0582  6 Nd 3.70-3.74, 3 Pr 3.70-3.82, 2 La 3.93
Pr7 0.5000 0.0805 0.2175  5 Nd 3.44-3.58, 4 La 3.62-3.69, 2 Pr 3.70
Pr8 0.5000 0.5805 0.2825  5 Nd 3.44-3.58, 4 La 3.62-3.69, 2 Pr 3.70
Pr9 0.5000 0.0000 0.5000  6 Nd 3.47-3.57, 4 Pr 3.70-3.82
Pr10 0.5000 0.7004 0.5582  6 Nd 3.70-3.74, 3 Pr 3.70-3.82, 2 La 3.93
Nd1 0.0000 0.5731 0.1379  1 La 3.48, 6 Pr 3.57-3.71, 4 Nd 3.61-3.70
Nd2 0.0000 0.4360 0.5736  5 Nd 3.48-3.74, 6 Pr 3.57-3.74
Nd3 0.0000 0.0640 0.0736  5 Nd 3.48-3.74, 6 Pr 3.57-3.74
Nd4 0.0000 0.5640 0.4264  5 Nd 3.48-3.74, 6 Pr 3.57-3.74
Nd5 0.5000 0.8169 0.3735  2 Pr 3.44-3.47, 6 Nd 3.61-3.74, 2 La 3.73
Nd6 0.0000 0.9360 0.9264  5 Nd 3.48-3.74, 6 Pr 3.57-3.74
Nd7 0.0000 0.4269 0.8621  1 La 3.48, 6 Pr 3.57-3.71, 4 Nd 3.61-3.70
Nd8 0.5000 0.1831 0.6265  2 Pr 3.44-3.47, 6 Nd 3.61-3.74, 2 La 3.73
Nd9 0.0000 0.0731 0.3621  1 La 3.48, 6 Pr 3.57-3.71, 4 Nd 3.61-3.70
Nd10 0.5000 0.3169 0.1265  2 Pr 3.44-3.47, 6 Nd 3.61-3.74, 2 La 3.73
Nd11 0.0000 0.9269 0.6379  1 La 3.48, 6 Pr 3.57-3.71, 4 Nd 3.61-3.70
Nd12 0.5000 0.6831 0.8735  2 Pr 3.44-3.47, 6 Nd 3.61-3.74, 2 La 3.73
La1 0.0000 0.8222 0.2209  3 Nd 3.48-3.73, 4 Pr 3.62-3.69, 2 La 3.70
La2 0.0000 0.3222 0.2791  3 Nd 3.48-3.73, 4 Pr 3.62-3.69, 2 La 3.70
La3 0.0000 0.1778 0.7791  3 Nd 3.48-3.73, 4 Pr 3.62-3.69, 2 La 3.70
La4 0.0000 0.6778 0.7209  3 Nd 3.48-3.73, 4 Pr 3.62-3.69, 2 La 3.70

=====

# La2PrNd12

An optimized crystal structure of La2PrNd12 (PBE-GGA, Alexandria via LeMat-Bulk).

Results
Symmetry ... P4/nbm
DOS at the Fermi energy ... 1.414 states/eV per atom
Energy ... -4.51 eV/atom

a b c (Å): 6.6497 6.6497 25.6724
angles (deg): 90.00 90.00 90.00
Closest atoms and distances in Å follow each position.
Element x y z (fractional)
Nd1 0.6871 0.1871 0.1147  7 Nd 3.43-3.56, 1 Pr 3.43
Nd2 0.3129 0.8129 0.1147  7 Nd 3.43-3.56, 1 Pr 3.43
Nd3 0.3321 0.8321 0.4386  6 Nd 3.16-3.51
Nd4 0.1679 0.3321 0.4386  6 Nd 3.16-3.51
Nd5 0.0000 0.0000 0.7840  1 Nd 3.16
Nd6 0.8129 0.3129 0.8853  7 Nd 3.43-3.56, 1 Pr 3.43
Nd7 0.1871 0.6871 0.8853  7 Nd 3.43-3.56, 1 Pr 3.43
Nd8 0.8129 0.6871 0.1147  7 Nd 3.43-3.56, 1 Pr 3.43
Nd9 0.5000 0.5000 0.2160  1 Nd 3.16
Nd10 0.3321 0.1679 0.5614  6 Nd 3.16-3.51
Nd11 0.5000 0.5000 0.6609  1 Nd 3.16
Nd12 0.6871 0.8129 0.8853  7 Nd 3.43-3.56, 1 Pr 3.43
Nd13 0.8321 0.6679 0.4386  6 Nd 3.16-3.51
Nd14 0.6679 0.1679 0.4386  6 Nd 3.16-3.51
Nd15 0.0000 0.0000 0.3391  1 Nd 3.16
Nd16 0.3129 0.1871 0.8853  7 Nd 3.43-3.56, 1 Pr 3.43
Nd17 0.5000 0.5000 0.7840  1 Nd 3.16
Nd18 0.8321 0.3321 0.5614  6 Nd 3.16-3.51
Nd19 0.0000 0.0000 0.6609  1 Nd 3.16
Nd20 0.0000 0.0000 0.2160  1 Nd 3.16
Nd21 0.1871 0.3129 0.1147  7 Nd 3.43-3.56, 1 Pr 3.43
Nd22 0.6679 0.8321 0.5614  6 Nd 3.16-3.51
Nd23 0.1679 0.6679 0.5614  6 Nd 3.16-3.51
Nd24 0.5000 0.5000 0.3391  1 Nd 3.16
La1 0.5000 0.0000 0.2670  8 Nd 3.57-3.80
La2 0.0000 0.5000 0.2670  8 Nd 3.57-3.80
La3 0.0000 0.5000 0.7330  8 Nd 3.57-3.80
La4 0.5000 0.0000 0.7330  8 Nd 3.57-3.80
Pr1 0.0000 0.5000 0.0000  4 Nd 3.43
Pr2 0.5000 0.0000 0.0000  4 Nd 3.43

=====

# La2Pr5Nd12

An optimized crystal structure of La2Pr5Nd12 (PBE-GGA, Alexandria via LeMat-Bulk).

Results
Symmetry ... C2/m
DOS at the Fermi energy ... 1.405 states/eV per atom
Energy above the lowest structure with this stoichiometry ... 0.0 kJ per mole of atoms
Energy ... -4.68 eV/atom

a b c (Å): 10.2723 9.7392 8.1140
angles (deg): 89.84 90.00 121.83
Closest atoms and distances in Å follow each position.
Element x y z (fractional)
Nd1 0.3811 0.2108 0.6101  4 Pr 3.45-3.77, 5 Nd 3.55-3.69, 1 La 3.66
Nd2 0.8298 0.2108 0.6101  4 Pr 3.45-3.77, 5 Nd 3.55-3.69, 1 La 3.66
Nd3 0.9649 0.3855 0.2072  4 Pr 3.55-3.72, 6 Nd 3.59-3.88, 1 La 3.61
Nd4 0.5795 0.6145 0.7928  4 Pr 3.55-3.72, 6 Nd 3.59-3.88, 1 La 3.61
Nd5 0.0351 0.6145 0.7928  4 Pr 3.55-3.72, 6 Nd 3.59-3.88, 1 La 3.61
Nd6 0.4205 0.3855 0.2072  4 Pr 3.55-3.72, 6 Nd 3.59-3.88, 1 La 3.61
Nd7 0.6189 0.7892 0.3899  4 Pr 3.45-3.77, 5 Nd 3.55-3.69, 1 La 3.66
Nd8 0.1702 0.7892 0.3899  4 Pr 3.45-3.77, 5 Nd 3.55-3.69, 1 La 3.66
Nd9 0.4492 0.8985 0.7089  3 Pr 3.36-3.70, 6 Nd 3.55-3.71
Nd10 0.5508 0.1015 0.2911  3 Pr 3.36-3.70, 6 Nd 3.55-3.71
Nd11 0.1619 0.3237 0.8773  2 Pr 3.27-3.57, 2 Nd 3.59, 2 La 3.61
Nd12 0.8381 0.6763 0.1227  2 Pr 3.27-3.57, 2 Nd 3.59, 2 La 3.61
La1 0.7846 0.0000 0.0000  8 Nd 3.61-3.85, 2 Pr 3.84
La2 0.2154 0.0000 0.0000  8 Nd 3.61-3.85, 2 Pr 3.84
Pr1 0.7514 0.5028 0.4852  5 Nd 3.27-3.55
Pr2 0.2486 0.4972 0.5148  5 Nd 3.27-3.55
Pr3 0.3542 0.7084 0.0748  9 Nd 3.36-3.71
Pr4 0.0000 0.0000 0.5000  4 Nd 3.45
Pr5 0.6458 0.2916 0.9252  9 Nd 3.36-3.71

=====

# La5Pr7Nd

An optimized crystal structure of La5Pr7Nd (PBE-GGA, Alexandria via LeMat-Bulk).

Results
Symmetry ... Imm2
DOS at the Fermi energy ... 1.634 states/eV per atom
Energy ... -4.64 eV/atom

a b c (Å): 7.0021 9.0080 9.0080
angles (deg): 77.04 67.13 67.13
Closest atoms and distances in Å follow each position.
Element x y z (fractional)
Pr1 0.4834 0.1861 0.8472  3 Pr 3.47-3.80, 4 La 3.52-3.80
Pr2 0.9822 0.3385 0.6972  3 La 3.31-3.48, 1 Nd 3.63
Pr3 0.7266 0.2734 0.2734  3 Pr 3.51-3.63, 1 Nd 3.63, 4 La 3.69
Pr4 0.4834 0.8472 0.1861  3 Pr 3.47-3.80, 4 La 3.52-3.80
Pr5 0.4299 0.5701 0.5701  3 Pr 3.63-3.77, 6 La 3.90-4.03
Pr6 0.2464 0.2536 0.2536  6 Pr 3.47-3.81, 4 La 3.52
Pr7 0.9822 0.6972 0.3385  3 La 3.31-3.48, 1 Nd 3.63
La1 0.9958 0.0016 0.5606  2 La 3.12-3.20, 1 Pr 3.48
La2 0.4419 0.0016 0.5606  2 La 3.12-3.20, 1 Pr 3.48
La3 0.9958 0.5606 0.0016  2 La 3.12-3.20, 1 Pr 3.48
La4 0.7670 0.7330 0.7330  4 La 3.20, 2 Pr 3.31
La5 0.4419 0.5606 0.0016  2 La 3.12-3.20, 1 Pr 3.48
Nd1 0.0237 0.9763 0.9763  7 Pr 3.63-4.01, 4 La 3.78